No. 1
Entry from Alexandria: crystalline Ba2CaN2 at its relaxed geometry (PBE).

**ΔE_f (raw)**: -0.448 eV/atom

Cell lengths 3.8418, 3.8418, 10.3001 Å; angles 90.00, 90.00, 120.00 degrees
With the nearest neighbours (Å) after each atom.
Positions (direct):
Ba  0.3333  0.6667  0.2785  3 N 2.59
Ba  0.6667  0.3333  0.7215  3 N 2.59
Ca  0.0000  0.0000  0.0000  6 N 2.70
N  0.3333  0.6667  0.8508  3 Ba 2.59, 3 Ca 2.70
N  0.6667  0.3333  0.1492  3 Ba 2.59, 3 Ca 2.70

No. 2
Entry from Alexandria: crystalline AlTeNO2 at its relaxed geometry (PBE).

**ΔE_f (raw)**: -0.735 eV/atom

Cell lengths 3.6438, 3.6438, 4.0411 Å; angles 90.00, 90.00, 90.00 degrees
With the nearest neighbours (Å) after each atom.
Positions (direct):
Al  0.0000  0.0000  0.0000  4 O 1.82, 2 N 2.02
Te  0.5000  0.5000  0.5000  4 N 2.58, 8 O 2.72
N  0.0000  0.0000  0.5000  2 Al 2.02
O  0.0000  0.5000  0.0000  2 Al 1.82
O  0.5000  0.0000  0.0000  2 Al 1.82

No. 3
Entry from Alexandria: crystalline PaTeP at its relaxed geometry (PBE).

**ΔE_f (raw)**: -0.800 eV/atom

Cell lengths 5.7352, 5.7352, 5.7352 Å; angles 141.85, 141.85, 55.05 degrees
With the nearest neighbours (Å) after each atom.
Positions (direct):
Pa  0.0000  0.0000  0.0000  4 P 2.85
Te  0.3208  0.3208  0.0000  1 P 2.88, 4 Pa 3.22
P  0.6040  0.6040  0.0000  4 Pa 2.85, 1 Te 2.88